Entry 1:
Below is CuS2I2 after structural relaxation, with properties calculated at the PBE level.

- total moment (Bohr magnetons per cell) = 0.00
- E above lowest polymorph (meV/atom) = 332
- electronic total energy (eV per atom) = -2.773

Cell: 6.9045 6.9045 5.3095 Å, 90.00 90.00 90.00°
Last column: nearest neighbours and their distance in Å.
Space group P4/mbm (No. 127)
Inequivalent atoms, fractional coordinates:
Cu  0.0000  0.0000  0.0000 [2 per cell]  4 S 2.48
S  0.2048  0.2952  0.0000 [4 per cell]  2 Cu 2.48, 2 I 2.66
I  0.1835  0.3165  0.5000 [4 per cell]  2 S 2.66



Entry 2:
Below is Cu2SI after structural relaxation, with properties calculated at the PBE level.

- total moment (Bohr magnetons per cell) = 0.00
- E above lowest polymorph (meV/atom) = 174
- electronic total energy (eV per atom) = -3.473

Cell: 3.9035 6.5017 6.8356 Å, 83.14 89.94 89.96°
Last column: nearest neighbours and their distance in Å.
Space group P1 (No. 1)
Inequivalent atoms, fractional coordinates:
Cu  0.0000  0.0000  0.0000 [1 per cell]  3 S 2.33-2.42
Cu  0.0002  0.3607  0.7600 [1 per cell]  3 S 2.33-2.42
Cu  0.4403  0.8607  0.7596 [1 per cell]  3 S 2.33-2.42
Cu  0.4406  0.4998  0.9998 [1 per cell]  3 S 2.33-2.42
S  0.5136  0.1799  0.8796 [1 per cell]  6 Cu 2.33-2.42
S  0.9268  0.6802  0.8798 [1 per cell]  6 Cu 2.33-2.42
I  0.2121  0.4275  0.3791 [1 per cell]  2 Cu 2.72-2.73
I  0.2167  0.9276  0.3797 [1 per cell]  2 Cu 2.72-2.73



> What is the electronic total energy in the first record?

-2.773 eV per atom